! GGA-PBE ZnNiHg2, optimized geometry; values from VASP
! energy of formation: 0.274 eV/atom
&SYSTEM
  ibrav = 0, nat = 4, ntyp = 3
/
ATOMIC_SPECIES
Zn 65.41 Zn.upf
Ni 58.69 Ni.upf
Hg 200.59 Hg.upf
CELL_PARAMETERS angstrom
1.638 0.946 8.045
-1.638 0.946 8.045
0.000 -1.892 8.045
ATOMIC_POSITIONS angstrom
Zn 0.000 0.000 0.000
Ni 0.000 0.000 12.067
Hg 0.000 0.000 5.929
Hg 0.000 0.000 18.206

! GGA-PBE Sc2Si2Sb, optimized geometry; values from VASP
! polymorph energy (0 for the lowest one): 63 meV per atom
! raw formation energy: -0.52 eV/atom
&SYSTEM
  ibrav = 0, nat = 10, ntyp = 3
/
ATOMIC_SPECIES
Sc 44.96 Sc.upf
Si 28.09 Si.upf
Sb 121.76 Sb.upf
CELL_PARAMETERS angstrom
7.157 0.000 0.000
0.000 7.157 0.000
0.000 0.000 3.834
ATOMIC_POSITIONS angstrom
Sc 1.283 2.295 0.000
Sc 2.295 5.874 0.000
Sc 4.862 1.283 0.000
Sc 5.874 4.862 0.000
Si 0.827 4.406 1.917
Si 2.751 0.827 1.917
Si 4.406 6.330 1.917
Si 6.330 2.751 1.917
Sb 0.000 0.000 1.917
Sb 3.579 3.579 1.917

! GGA-PBE SrYSe3, optimized geometry; values from VASP
! polymorph energy (0 for the lowest one): 0 meV per atom
! raw formation energy: -1.39 eV/atom
&SYSTEM
  ibrav = 0, nat = 5, ntyp = 3
/
ATOMIC_SPECIES
Sr 87.62 Sr.upf
Y 88.91 Y.upf
Se 78.96 Se.upf
CELL_PARAMETERS angstrom
5.461 0.000 0.000
0.000 5.461 0.000
0.000 0.000 5.461
ATOMIC_POSITIONS angstrom
Sr 0.000 0.000 0.000
Y 2.731 2.731 2.731
Se 0.000 2.731 2.731
Se 2.731 0.000 2.731
Se 2.731 2.731 0.000

! GGA-PBE Li2La3Ga3, optimized geometry; values from VASP
! energy of formation: -0.435 eV/atom
&SYSTEM
  ibrav = 0, nat = 16, ntyp = 3
/
ATOMIC_SPECIES
Li 6.94 Li.upf
La 138.91 La.upf
Ga 69.72 Ga.upf
CELL_PARAMETERS angstrom
2.406 -5.168 0.000
2.406 5.168 0.000
0.000 0.000 15.781
ATOMIC_POSITIONS angstrom
Li 2.406 3.044 9.254
Li 2.406 3.044 14.418
Li 2.406 -3.044 1.363
Li 2.406 -3.044 6.527
La 2.406 4.061 1.741
La 2.406 4.061 6.150
La 2.406 1.042 3.945
La 2.406 -1.042 11.836
La 2.406 -4.061 9.631
La 2.406 -4.061 14.040
Ga 2.406 2.058 11.836
Ga 2.406 1.058 0.685
Ga 2.406 1.058 7.206
Ga 2.406 -1.058 8.575
Ga 2.406 -1.058 15.096
Ga 2.406 -2.058 3.945

! GGA-PBE SrSc2Ru, optimized geometry; values from VASP
! energy of formation: -0.057 eV/atom
! polymorph energy (0 for the lowest one): 145 meV per atom
&SYSTEM
  ibrav = 0, nat = 4, ntyp = 3
/
ATOMIC_SPECIES
Sr 87.62 Sr.upf
Sc 44.96 Sc.upf
Ru 101.07 Ru.upf
CELL_PARAMETERS angstrom
3.564 -2.057 0.000
3.564 2.057 0.000
-2.364 0.000 7.803
ATOMIC_POSITIONS angstrom
Sr 0.000 0.000 0.000
Sc 0.007 0.000 4.986
Sc 4.758 0.000 2.817
Ru 2.382 0.000 3.902

! GGA-PBE SrFe2W, optimized geometry; values from VASP
! energy of formation: 0.682 eV/atom
! polymorph energy (0 for the lowest one): 175 meV per atom
&SYSTEM
  ibrav = 0, nat = 4, ntyp = 3
/
ATOMIC_SPECIES
Sr 87.62 Sr.upf
Fe 55.84 Fe.upf
W 183.84 W.upf
CELL_PARAMETERS angstrom
3.103 0.000 0.000
0.000 3.214 0.000
0.000 0.000 7.423
ATOMIC_POSITIONS angstrom
Sr 0.000 0.000 0.000
Fe 0.000 0.000 3.587
Fe 1.551 1.607 2.436
W 1.551 1.607 4.836